[1]
An optimized crystal structure of TiTe3Cl. Source: Alexandria, functional GGA-PBEsol.

It has space group Pm-3m (No. 221), with a = 5.210 Å, b = 5.210 Å, c = 5.210 Å, α = 90.00°, β = 90.00° and γ = 90.00°. The distinct sites, in fractional coordinates, are Ti at (0.000, 0.000, 0.000), Te at (0.000, 0.500, 0.500) and Cl at (0.500, 0.500, 0.500).

As for the total energy: -3.4195 eV/atom. The volume comes out at 141 Å³/cell. The value obtained for the energy relative to the elements, uncorrected is 3.81 eV/f.u.



[2]
An optimized crystal structure of Ti2TeCl. Source: Alexandria, functional GGA-PBEsol.

It has space group I-42d (No. 122), with a = 4.912 Å, b = 4.912 Å, c = 14.735 Å, α = 90.00°, β = 90.00° and γ = 90.00°. The distinct sites, in fractional coordinates, are Ti at (0.173, 0.250, 0.125), Te at (0.000, 0.000, 0.500) and Cl at (0.000, 0.000, 0.000).

As for the total energy: -5.8095 eV/atom. The volume comes out at 355 Å³/cell. The value obtained for the energy relative to the elements, uncorrected is -1.06 eV/f.u.



Which value of energy relative to the elements, uncorrected does entry 2 give? -1.06 eV/f.u.



Copy entry 1 word for word.
An optimized crystal structure of TiTe3Cl. Source: Alexandria, functional GGA-PBEsol.

It has space group Pm-3m (No. 221), with a = 5.210 Å, b = 5.210 Å, c = 5.210 Å, α = 90.00°, β = 90.00° and γ = 90.00°. The distinct sites, in fractional coordinates, are Ti at (0.000, 0.000, 0.000), Te at (0.000, 0.500, 0.500) and Cl at (0.500, 0.500, 0.500).

As for the total energy: -3.4195 eV/atom. The volume comes out at 141 Å³/cell. The value obtained for the energy relative to the elements, uncorrected is 3.81 eV/f.u.



The lowest energy relative to the elements, uncorrected belongs to which entry? Ti2TeCl